(1)
# Dy5CSe4, optimized geometry, DFT PBE
data_Dy5CSe4
_chemical_formula_sum 'Dy5 C1 Se4'
_cell_length_a 6.932
_cell_length_b 6.932
_cell_length_c 6.932
_cell_angle_alpha 99.54
_cell_angle_beta 99.54
_cell_angle_gamma 131.96
_symmetry_space_group_name_H-M 'P 1'
_symmetry_Int_Tables_number 1
loop_
_symmetry_equiv_pos_as_xyz
'x,y,z'
loop_
_atom_site_label
_atom_site_type_symbol
_atom_site_fract_x
_atom_site_fract_y
_atom_site_fract_z
Dy1 Dy 0.000 0.000 0.000
Dy2 Dy 0.241 0.592 0.831
Dy3 Dy 0.409 0.241 0.649
Dy4 Dy 0.592 0.761 0.351
Dy5 Dy 0.761 0.409 0.169
C1 C 0.501 0.501 0.000
Se1 Se 0.092 0.307 0.398
Se2 Se 0.307 0.909 0.214
Se3 Se 0.694 0.092 0.786
Se4 Se 0.909 0.694 0.602
# VASP energy	-6.15	eV per atom
# space-group type	I4, No. 79



(2)
# TaZnPO, optimized geometry, DFT PBE
data_TaZnPO
_chemical_formula_sum 'Ta2 Zn2 P2 O2'
_cell_length_a 3.306
_cell_length_b 6.268
_cell_length_c 5.731
_cell_angle_alpha 90.00
_cell_angle_beta 90.00
_cell_angle_gamma 90.00
_symmetry_space_group_name_H-M 'P 1'
_symmetry_Int_Tables_number 1
loop_
_symmetry_equiv_pos_as_xyz
'x,y,z'
loop_
_atom_site_label
_atom_site_type_symbol
_atom_site_fract_x
_atom_site_fract_y
_atom_site_fract_z
Ta1 Ta 0.000 0.006 0.000
Ta2 Ta 0.000 0.994 0.500
Zn1 Zn 0.500 0.418 0.359
Zn2 Zn 0.500 0.582 0.859
P1 P 0.500 0.220 0.745
P2 P 0.500 0.780 0.245
O1 O 0.000 0.249 0.250
O2 O 0.000 0.751 0.750
# VASP energy	-6.79	eV per atom
# space-group type	Pmc2_1, No. 26



(3)
# HoNi4Pd, optimized geometry, DFT PBE
data_HoNi4Pd
_chemical_formula_sum 'Ho1 Ni4 Pd1'
_cell_length_a 4.877
_cell_length_b 4.877
_cell_length_c 4.877
_cell_angle_alpha 60.00
_cell_angle_beta 60.00
_cell_angle_gamma 60.00
_symmetry_space_group_name_H-M 'P 1'
_symmetry_Int_Tables_number 1
loop_
_symmetry_equiv_pos_as_xyz
'x,y,z'
loop_
_atom_site_label
_atom_site_type_symbol
_atom_site_fract_x
_atom_site_fract_y
_atom_site_fract_z
Ho1 Ho 0.000 0.000 0.000
Ni1 Ni 0.127 0.624 0.624
Ni2 Ni 0.624 0.127 0.624
Ni3 Ni 0.624 0.624 0.127
Ni4 Ni 0.624 0.624 0.624
Pd1 Pd 0.250 0.250 0.250
# space-group type	F-43m, No. 216
# E_form	-36.48	kJ per mole of atoms



(4)
# NdAgGeSe2S, optimized geometry, DFT PBE
data_NdAgGeSe2S
_chemical_formula_sum 'Nd2 Ag2 Ge2 Se4 S2'
_cell_length_a 6.904
_cell_length_b 6.904
_cell_length_c 10.697
_cell_angle_alpha 90.00
_cell_angle_beta 90.00
_cell_angle_gamma 145.97
_symmetry_space_group_name_H-M 'P 1'
_symmetry_Int_Tables_number 1
loop_
_symmetry_equiv_pos_as_xyz
'x,y,z'
loop_
_atom_site_label
_atom_site_type_symbol
_atom_site_fract_x
_atom_site_fract_y
_atom_site_fract_z
Nd1 Nd 0.000 0.000 0.000
Nd2 Nd 0.000 0.000 0.500
Ag1 Ag 0.482 0.518 0.750
Ag2 Ag 0.518 0.482 0.250
Ge1 Ge 0.242 0.758 0.250
Ge2 Ge 0.758 0.242 0.750
Se1 Se 0.345 0.655 0.572
Se2 Se 0.345 0.655 0.928
Se3 Se 0.655 0.345 0.072
Se4 Se 0.655 0.345 0.428
S1 S 0.101 0.899 0.750
S2 S 0.899 0.101 0.250
# VASP energy	-4.64	eV per atom
# space-group type	Cmcm, No. 63



Copy entry 2 word for word.
# TaZnPO, optimized geometry, DFT PBE
data_TaZnPO
_chemical_formula_sum 'Ta2 Zn2 P2 O2'
_cell_length_a 3.306
_cell_length_b 6.268
_cell_length_c 5.731
_cell_angle_alpha 90.00
_cell_angle_beta 90.00
_cell_angle_gamma 90.00
_symmetry_space_group_name_H-M 'P 1'
_symmetry_Int_Tables_number 1
loop_
_symmetry_equiv_pos_as_xyz
'x,y,z'
loop_
_atom_site_label
_atom_site_type_symbol
_atom_site_fract_x
_atom_site_fract_y
_atom_site_fract_z
Ta1 Ta 0.000 0.006 0.000
Ta2 Ta 0.000 0.994 0.500
Zn1 Zn 0.500 0.418 0.359
Zn2 Zn 0.500 0.582 0.859
P1 P 0.500 0.220 0.745
P2 P 0.500 0.780 0.245
O1 O 0.000 0.249 0.250
O2 O 0.000 0.751 0.750
# VASP energy	-6.79	eV per atom
# space-group type	Pmc2_1, No. 26